Compound: V6P3H
Source: Alexandria
Functional: PBE
Structure: relaxed

Properties
Theoretical density in g/cm3: 5.3
Density of states at the Fermi level in states/eV per cell: 13.9
Calculated volume in Å³/f.u.: 125.52
Total energy in eV for the cell shown: -155.87

a = 9.619 Å, b = 5.023 Å, c = 6.248 Å
α = 90.00°, β = 123.74°, γ = 90.00°
Space group C2/m (No. 12)
Asymmetric unit:
V: 0.071 0.237 0.349
V: 0.228 0.000 0.841
P: 0.000 0.500 0.000
P: 0.236 0.500 0.742
H: 0.000 0.000 0.500

Compound: VPH
Source: Alexandria
Functional: PBE
Structure: relaxed

Properties
Theoretical density in g/cm3: 4.3
Density of states at the Fermi level in states/eV per cell: 11.7
Calculated volume in Å³/f.u.: 31.71
Total energy in eV for the cell shown: -148.73

a = 4.567 Å, b = 5.775 Å, c = 10.425 Å
α = 81.75°, β = 87.88°, γ = 68.82°
Space group P1 (No. 1)
Asymmetric unit:
V: 0.000 0.000 0.000
V: 0.004 0.489 0.068
V: 0.089 0.992 0.481
V: 0.200 0.129 0.740
V: 0.217 0.603 0.837
V: 0.244 0.498 0.329
V: 0.254 0.019 0.210
V: 0.552 0.368 0.588
P: 0.033 0.396 0.530
P: 0.422 0.175 0.976
P: 0.435 0.625 0.117
P: 0.448 0.754 0.650
P: 0.596 0.091 0.374
P: 0.808 0.930 0.683
P: 0.811 0.407 0.866
P: 0.827 0.822 0.199
H: 0.257 0.806 0.354
H: 0.277 0.871 0.881
H: 0.380 0.348 0.743
H: 0.509 0.904 0.477
H: 0.547 0.510 0.419
H: 0.607 0.457 0.286
H: 0.893 0.761 0.943
H: 0.895 0.230 0.134

Compound: V7P2H2
Source: Alexandria
Functional: PBE
Structure: relaxed

Properties
Theoretical density in g/cm3: 5.4
Density of states at the Fermi level in states/eV per cell: 20.5
Calculated volume in Å³/f.u.: 128.50
Total energy in eV for the cell shown: -166.69

a = 7.884 Å, b = 7.417 Å, c = 4.498 Å
α = 90.00°, β = 102.30°, γ = 90.00°
Space group C2/m (No. 12)
Asymmetric unit:
V: 0.000 0.000 0.000
V: 0.104 0.500 0.741
V: 0.196 0.315 0.232
P: 0.000 0.195 0.500
H: 0.218 0.000 0.946

- Which formula does entry 1 have?
  V6P3H

- Which value of density of states at the Fermi level does entry 1 give?
  13.9 states/eV per cell